100
Lattice="-7.632 7.632 10.114 7.632 -7.632 10.114 7.632 7.632 -10.114" Properties=species:S:1:pos:R:3 comment="Pr10S14O GGA-PBE relaxed" e_form_raw_ev_per_fu=-53.966 sg="I4_1/acd (142)" pbc="T T T"
Pr 9.694 -1.754 2.529
Pr 5.682 -0.423 0.944
Pr 13.314 0.423 0.944
Pr 7.735 5.838 -6.225
Pr 4.240 -1.866 4.113
Pr 4.240 5.766 -4.113
Pr 2.022 3.713 -1.168
Pr 7.735 -1.794 6.225
Pr 5.610 -3.713 8.947
Pr 2.062 1.754 2.529
Pr 2.062 -1.754 7.586
Pr 5.610 3.713 1.168
Pr 7.735 1.794 3.890
Pr 9.654 3.919 1.168
Pr 11.872 1.866 4.113
Pr 4.240 1.866 6.002
Pr 0.103 1.794 6.225
Pr 5.682 7.209 -0.944
Pr 5.682 0.423 9.170
Pr 2.062 9.386 -2.529
Pr 5.570 -1.754 12.643
Pr 1.950 7.209 0.944
Pr 1.950 0.423 11.059
Pr 7.529 5.838 3.890
Pr 3.393 5.766 4.113
Pr -4.240 5.766 6.002
Pr -2.022 3.713 8.947
Pr -0.103 5.838 6.225
Pr 2.022 3.919 8.947
Pr 5.570 9.386 2.529
Pr 5.570 5.878 7.586
Pr 2.022 11.345 1.168
Pr -0.103 9.426 3.890
Pr 5.610 3.919 11.282
Pr 3.393 1.866 14.227
Pr 3.393 9.498 6.002
Pr -0.103 1.794 16.339
Pr -5.682 7.209 9.170
Pr 1.950 8.056 9.170
Pr -2.062 9.386 7.586
S 2.391 -1.116 1.889
S 9.663 -3.437 4.987
S 9.663 4.195 -4.987
S 12.564 -1.425 3.168
S 7.052 -1.079 3.470
S 3.816 1.555 0.000
S 7.253 1.785 -0.070
S 0.379 1.785 0.070
S 10.369 3.236 -1.587
S 10.023 1.116 1.889
S 4.896 4.397 -1.587
S -0.580 1.079 3.470
S 2.261 0.000 5.057
S 4.932 1.425 3.168
S 4.932 -1.425 6.946
S 9.893 0.000 5.057
S 7.052 6.553 -3.470
S 4.896 -4.397 11.701
S 2.391 6.516 -1.889
S 2.737 4.397 1.587
S 8.011 5.847 -0.070
S 7.253 -1.785 10.184
S 3.816 -1.555 10.114
S 7.052 1.079 6.644
S 4.932 9.057 -3.168
S 2.031 3.437 4.987
S 9.663 3.437 5.127
S 2.391 1.116 8.226
S 5.241 6.516 1.889
S -2.031 4.195 4.987
S 5.601 4.195 5.127
S 2.700 -1.425 13.283
S 0.580 6.553 3.470
S 3.816 9.187 0.000
S 0.379 9.418 -0.070
S -0.379 1.785 10.184
S 4.896 3.236 8.527
S 5.241 1.116 12.003
S 2.737 12.029 -1.587
S 0.580 1.079 13.584
S -2.261 7.632 5.057
S 2.700 9.057 3.168
S 2.700 6.207 6.946
S 5.371 7.632 5.057
S 8.213 6.553 6.644
S 2.737 3.236 11.701
S -2.391 6.516 8.226
S -2.737 4.397 11.701
S 7.253 5.847 10.045
S 0.379 5.847 10.184
S 3.816 6.077 10.114
S 0.580 8.712 6.644
S -4.932 9.057 6.946
S -2.031 3.437 15.102
S -2.031 11.069 5.127
S 5.241 8.748 8.226
O 7.632 -3.816 7.586
O 7.632 3.816 2.529
O 0.000 3.816 7.586
O 0.000 11.448 2.529


6
Lattice="0.000 3.629 3.629 3.629 0.000 3.629 3.629 3.629 0.000" Properties=species:S:1:pos:R:3 comment="FeMo4Ru GGA-PBE relaxed" formation_enthalpy_0k_mev_per_atom=458 sg="F-43m (216)" pbc="T T T"
Fe 0.000 0.000 0.000
Mo 2.713 2.713 2.713
Mo 4.545 4.545 2.713
Mo 4.545 2.713 4.545
Mo 2.713 4.545 4.545
Ru 5.443 5.443 5.443


12
Lattice="-2.817 3.524 5.550 2.817 -3.524 5.550 2.817 3.524 -5.550" Properties=species:S:1:pos:R:3 comment="Al4GaW GGA-PBE relaxed" de_polymorph_mev_per_atom=233 formation_enthalpy_0k_mev_per_atom=189 sg="Imma (74)" pbc="T T T"
Al 1.270 0.000 0.000
Al 4.364 0.000 0.000
Al 1.409 3.689 -2.775
Al 1.409 0.165 2.775
Al 1.270 3.524 0.000
Al 1.547 0.000 5.550
Al -1.409 3.359 2.775
Al 1.409 3.359 2.775
Ga 2.817 1.762 1.119
Ga 0.000 1.762 4.432
W 2.817 -1.762 3.829
W 0.000 5.286 1.722


4
Lattice="4.454 -1.344 0.000 4.454 1.344 0.000 -0.844 0.000 4.566" Properties=species:S:1:pos:R:3 comment="CoRu2Pt GGA-PBE relaxed" de_polymorph_mev_per_atom=51 formation_enthalpy_0k_mev_per_atom=100 sg="C2/m (12)" pbc="T T T"
Co 0.000 0.000 0.000
Ru 1.629 0.000 3.486
Ru 6.435 0.000 1.080
Pt 4.032 0.000 2.283